(1)
# PBE LaGa2Ru2C, optimized geometry
# Magnetic moment: 0.00 μB per atom
# Calculated formation energy: -0.425 eV/atom
# Crystal system: tetragonal
# Space-group type: P4/mmm (123)
# DOS(E_F): 2.87 states/eV/f.u.
# DFT total energy: -41.304 eV for the cell shown
data_LaGa2Ru2C
_chemical_formula_sum 'La1 Ga2 Ru2 C1'
_cell_length_a 4.143
_cell_length_b 4.143
_cell_length_c 5.711
_cell_angle_alpha 90.00
_cell_angle_beta 90.00
_cell_angle_gamma 90.00
_symmetry_space_group_name_H-M 'P 1'
_symmetry_Int_Tables_number 1
loop_
_symmetry_equiv_pos_as_xyz
'x,y,z'
loop_
_atom_site_label
_atom_site_fract_x
_atom_site_fract_y
_atom_site_fract_z
Ru1 0.000 0.500 0.000
Ga1 0.500 0.500 0.276
Ga2 0.500 0.500 0.724
C1 0.000 0.000 0.000
Ru2 0.500 0.000 0.000
La1 0.000 0.000 0.500

---

(2)
# PBE Ba7Cd2Ga2, optimized geometry
# Magnetic moment: 0.00 μB per atom
# Calculated formation energy: -0.092 eV/atom
# Crystal system: monoclinic
# Space-group type: C2/m (12)
# DOS(E_F): 12.19 states/eV/f.u.
# DFT total energy: -22.354 eV for the cell shown
data_Ba7Cd2Ga2
_chemical_formula_sum 'Ba7 Cd2 Ga2'
_cell_length_a 7.661
_cell_length_b 9.024
_cell_length_c 7.661
_cell_angle_alpha 90.05
_cell_angle_beta 111.75
_cell_angle_gamma 89.95
_symmetry_space_group_name_H-M 'P 1'
_symmetry_Int_Tables_number 1
loop_
_symmetry_equiv_pos_as_xyz
'x,y,z'
loop_
_atom_site_label
_atom_site_fract_x
_atom_site_fract_y
_atom_site_fract_z
Ga1 0.853 0.500 0.853
Ba1 0.500 0.707 0.000
Ba2 0.000 0.707 0.500
Ba3 0.000 0.293 0.500
Ba4 0.500 0.293 0.000
Ba5 0.500 0.705 0.500
Ga2 0.147 0.500 0.147
Ba6 0.000 0.000 0.000
Cd1 0.685 0.000 0.315
Cd2 0.315 0.000 0.685
Ba7 0.500 0.295 0.500

---

(3)
# PBE TaBeAg, optimized geometry
# Magnetic moment: 0.00 μB per atom
# Calculated formation energy: 1.307 eV/atom
# Crystal system: hexagonal
# Space-group type: P6_3/mmc (194)
# Excess energy over the best structure of this formula in the dataset: 30.05 kcal/mol of atoms
# DOS(E_F): 3.18 states/eV/f.u.
# DFT total energy: -29.018 eV for the cell shown
data_TaBeAg
_chemical_formula_sum 'Ta2 Be2 Ag2'
_cell_length_a 3.579
_cell_length_b 3.579
_cell_length_c 9.578
_cell_angle_alpha 90.00
_cell_angle_beta 90.00
_cell_angle_gamma 120.00
_symmetry_space_group_name_H-M 'P 1'
_symmetry_Int_Tables_number 1
loop_
_symmetry_equiv_pos_as_xyz
'x,y,z'
loop_
_atom_site_label
_atom_site_fract_x
_atom_site_fract_y
_atom_site_fract_z
Ta1 0.000 0.000 0.000
Be1 0.000 0.000 0.250
Ta2 0.000 0.000 0.500
Ag1 0.333 0.667 0.250
Be2 0.000 0.000 0.750
Ag2 0.667 0.333 0.750

---

(4)
# PBE BaGaTe2N, optimized geometry
# Magnetic moment: 0.00 μB per atom
# Crystal system: tetragonal
# Space-group type: P4/mmm (123)
# Excess energy over the best structure of this formula in the dataset: 22.96 kcal/mol of atoms
# DOS(E_F): 7.74 states/eV/f.u.
# DFT total energy: -15.327 eV for the cell shown
data_BaGaTe2N
_chemical_formula_sum 'Ba1 Ga1 Te2 N1'
_cell_length_a 6.764
_cell_length_b 6.764
_cell_length_c 4.364
_cell_angle_alpha 90.00
_cell_angle_beta 90.00
_cell_angle_gamma 90.00
_symmetry_space_group_name_H-M 'P 1'
_symmetry_Int_Tables_number 1
loop_
_symmetry_equiv_pos_as_xyz
'x,y,z'
loop_
_atom_site_label
_atom_site_fract_x
_atom_site_fract_y
_atom_site_fract_z
Ga1 0.500 0.500 0.500
Te1 0.000 0.500 0.000
N1 0.000 0.000 0.500
Ba1 0.000 0.000 0.000
Te2 0.500 0.000 0.000

---

(5)
# PBE HoGaSi, optimized geometry
# Magnetic moment: 0.00 μB per atom
# Crystal system: trigonal
# Space-group type: P3m1 (156)
# DOS(E_F): 0.82 states/eV/f.u.
# DFT total energy: -14.841 eV for the cell shown
data_HoGaSi
_chemical_formula_sum 'Ho1 Ga1 Si1'
_cell_length_a 4.009
_cell_length_b 4.111
_cell_length_c 4.111
_cell_angle_alpha 120.00
_cell_angle_beta 90.00
_cell_angle_gamma 90.00
_symmetry_space_group_name_H-M 'P 1'
_symmetry_Int_Tables_number 1
loop_
_symmetry_equiv_pos_as_xyz
'x,y,z'
loop_
_atom_site_label
_atom_site_fract_x
_atom_site_fract_y
_atom_site_fract_z
Si1 0.206 0.333 0.667
Ho1 0.668 0.667 0.333
Ga1 0.126 0.000 0.000

---

(6)
# PBE SrAcGaAg, optimized geometry
# Magnetic moment: 0.00 μB per atom
# Calculated formation energy: -0.344 eV/atom
# Crystal system: cubic
# Space-group type: F-43m (216)
# Excess energy over the best structure of this formula in the dataset: 0.00 kcal/mol of atoms
# DOS(E_F): 3.81 states/eV/f.u.
# DFT total energy: -13.043 eV for the cell shown
data_SrAcGaAg
_chemical_formula_sum 'Sr1 Ac1 Ga1 Ag1'
_cell_length_a 5.550
_cell_length_b 5.550
_cell_length_c 5.550
_cell_angle_alpha 60.00
_cell_angle_beta 60.00
_cell_angle_gamma 60.00
_symmetry_space_group_name_H-M 'P 1'
_symmetry_Int_Tables_number 1
loop_
_symmetry_equiv_pos_as_xyz
'x,y,z'
loop_
_atom_site_label
_atom_site_fract_x
_atom_site_fract_y
_atom_site_fract_z
Ga1 0.750 0.750 0.750
Ag1 0.250 0.250 0.250
Ac1 0.000 0.000 0.000
Sr1 0.500 0.500 0.500

---

(7)
# PBE CaHg2Cl, optimized geometry
# Magnetic moment: 0.00 μB per atom
# Crystal system: cubic
# Space-group type: Fm-3m (225)
# Excess energy over the best structure of this formula in the dataset: 7.97 kcal/mol of atoms
# DOS(E_F): 2.05 states/eV/f.u.
# DFT total energy: -6.546 eV for the cell shown
data_CaHg2Cl
_chemical_formula_sum 'Ca1 Hg2 Cl1'
_cell_length_a 5.412
_cell_length_b 5.412
_cell_length_c 5.412
_cell_angle_alpha 60.00
_cell_angle_beta 60.00
_cell_angle_gamma 60.00
_symmetry_space_group_name_H-M 'P 1'
_symmetry_Int_Tables_number 1
loop_
_symmetry_equiv_pos_as_xyz
'x,y,z'
loop_
_atom_site_label
_atom_site_fract_x
_atom_site_fract_y
_atom_site_fract_z
Hg1 0.250 0.250 0.250
Cl1 0.000 0.000 0.000
Ca1 0.500 0.500 0.500
Hg2 0.750 0.750 0.750

---

(8)
# PBE LaCrCuCl2, optimized geometry
# Magnetic moment: 0.71 μB per atom
# Crystal system: tetragonal
# Space-group type: P4/mmm (123)
# DOS(E_F): 3.21 states/eV/f.u.
# DFT total energy: -23.065 eV for the cell shown
data_LaCrCuCl2
_chemical_formula_sum 'La1 Cr1 Cu1 Cl2'
_cell_length_a 4.639
_cell_length_b 6.165
_cell_length_c 4.639
_cell_angle_alpha 90.00
_cell_angle_beta 90.00
_cell_angle_gamma 90.00
_symmetry_space_group_name_H-M 'P 1'
_symmetry_Int_Tables_number 1
loop_
_symmetry_equiv_pos_as_xyz
'x,y,z'
loop_
_atom_site_label
_atom_site_fract_x
_atom_site_fract_y
_atom_site_fract_z
Cu1 0.500 0.500 0.500
La1 0.000 0.500 0.000
Cl1 0.500 0.000 0.000
Cl2 0.000 0.000 0.500
Cr1 0.000 0.000 0.000